TlPPb2: optimized geometry, PBE-GGA.

The energy comes out at -43.936 eV per cell. The excess energy over the best structure of this formula in the dataset comes out at 60 meV per atom. The value obtained for the formation energy is 0.137 eV/atom.

The space group is R3m (No. 160, hexagonal axes) and the conventional cell measures 3.9490, 3.9490 and 26.0694 Å, with angles of 90.00, 90.00 and 120.00 degrees. The asymmetric unit holds Tl at (0.0000, 0.0000, 0.0000), P at (0.0000, 0.0000, 0.2649), Pb at (0.0000, 0.0000, 0.5379) and Pb at (0.0000, 0.0000, 0.7667).

TlP2Pb2: optimized geometry, PBE-GGA.

The energy comes out at -39.747 eV per cell. The excess energy over the best structure of this formula in the dataset comes out at 0 meV per atom. The value obtained for the formation energy is 0.146 eV/atom.

The space group is I4/mmm (No. 139) and the conventional cell measures 5.658, 5.658 and 8.388 Å, with angles of 90.00, 90.00 and 90.00 degrees. The asymmetric unit holds Tl at (0.000, 0.000, 0.000), P at (0.000, 0.000, 0.372) and Pb at (0.000, 0.500, 0.250).

Tl2PPb: optimized geometry, PBE-GGA.

The energy comes out at -25.917 eV per cell. The excess energy over the best structure of this formula in the dataset comes out at 139 meV per atom. The value obtained for the formation energy is 0.223 eV/atom.

The space group is I4/mmm (No. 139) and the conventional cell measures 4.524, 4.524 and 10.680 Å, with angles of 90.00, 90.00 and 90.00 degrees. The asymmetric unit holds Tl at (0.000, 0.500, 0.250), P at (0.000, 0.000, 0.000) and Pb at (0.000, 0.000, 0.500).

TlPPb3: optimized geometry, PBE-GGA.

The energy comes out at -17.232 eV per cell. The excess energy over the best structure of this formula in the dataset comes out at 0 meV per atom. The value obtained for the formation energy is 0.334 eV/atom.

The space group is Pm-3m (No. 221) and the conventional cell measures 5.524, 5.524 and 5.524 Å, with angles of 90.00, 90.00 and 90.00 degrees. The asymmetric unit holds Tl at (0.000, 0.000, 0.000), P at (0.500, 0.500, 0.500) and Pb at (0.000, 0.500, 0.500).